First-principles (PBE-GGA) data for an optimized crystal structure of Na4CuAgP2, as listed in OQMD.

Properties
Symmetry: C2/m, No. 12
E_tot, eV for the cell shown: -25.5

POSCAR file:
```
Na4CuAgP2
1.0
-4.466 0.942 -3.184
-2.131 -3.103 4.099
-0.894 4.564 2.821
Ag Cu Na P
1 1 4 2
Cartesian
0.000 0.000 0.000 Ag
-0.447 2.282 1.411 Cu
-2.993 1.096 -0.240 Na
-2.172 -0.327 2.323 Na
-5.320 2.730 1.413 Na
-4.498 1.307 3.976 Na
-5.038 -0.340 1.426 P
-2.453 2.743 2.310 P
```